Density functional theory data (GGA-PBE) for Cs4AuBr after structural relaxation.

crystal system = monoclinic
uncorrected formation energy = -0.691 eV/atom
density of states at the Fermi level = 0.586 states/eV per atom

a b c (Å): 9.1267 5.2764 9.3809
angles (deg): 90.00 109.52 90.00
Atoms (fractional coordinates):
Cs (0.2448, 0.0000, 0.2327)
Cs (0.2525, 0.5000, 0.7671)
Cs (0.7475, 0.5000, 0.2329)
Cs (0.7552, 0.0000, 0.7673)
Au (0.0000, 0.5000, 0.0000)
Br (0.5000, 0.0000, 0.0000)

---

Density functional theory data (GGA-PBE) for TcNiSe2 after structural relaxation.

crystal system = monoclinic
uncorrected formation energy = 0.192 eV/atom
density of states at the Fermi level = 1.309 states/eV per atom
ΔE to the lowest computed polymorph = 468.7 meV per atom

a b c (Å): 4.0303 3.1889 5.1297
angles (deg): 90.00 107.23 90.00
Atoms (fractional coordinates):
Tc (0.0000, 0.0000, 0.0000)
Ni (0.5000, 0.5000, 0.5000)
Se (0.0000, 0.0000, 0.5000)
Se (0.5000, 0.5000, 0.0000)

---

Density functional theory data (GGA-PBE) for YPaAgS4 after structural relaxation.

crystal system = orthorhombic
uncorrected formation energy = -1.438 eV/atom
density of states at the Fermi level = 0.838 states/eV per atom

a b c (Å): 7.9970 7.9970 7.9970
angles (deg): 120.49 119.41 90.09
Atoms (fractional coordinates):
Y (0.5000, 0.0000, 0.0000)
Y (0.5000, 0.5000, 0.5000)
Pa (0.0000, 0.0000, 0.0000)
Pa (0.5000, 0.0000, 0.5000)
Ag (0.1196, 0.3696, 0.7500)
Ag (0.8804, 0.6304, 0.2500)
S (0.2539, 0.2391, 0.0147)
S (0.2561, 0.2393, 0.4832)
S (0.2561, 0.7729, 0.0168)
S (0.2756, 0.7609, 0.5147)
S (0.7244, 0.2391, 0.4853)
S (0.7439, 0.2271, 0.9832)
S (0.7439, 0.7607, 0.5168)
S (0.7461, 0.7609, 0.9853)

---

Density functional theory data (GGA-PBE) for CrSn3Ru after structural relaxation.

crystal system = cubic
density of states at the Fermi level = 0.614 states/eV per atom
formation energy from the elements = 545 meV/atom
ΔE to the lowest computed polymorph = 0.0 meV per atom

a b c (Å): 5.1062 5.1062 5.1062
angles (deg): 90.00 90.00 90.00
Atoms (fractional coordinates):
Cr (0.0000, 0.0000, 0.0000)
Sn (0.0000, 0.5000, 0.5000)
Sn (0.5000, 0.0000, 0.5000)
Sn (0.5000, 0.5000, 0.0000)
Ru (0.5000, 0.5000, 0.5000)